{"formula": "Li2CrWO6", "functional": "meta-GGA SCAN", "state": "single point on PBEsol structure", "raw_formation_energy_ev_per_fu": -22.8, "spacegroup": "R3", "cell": [[5.006, 0.000, 0.000], [2.503, 4.335, 0.000], [2.503, 1.445, 4.394]], "species": ["Cr", "O", "O", "O", "O", "O", "O", "W", "Li", "Li"], "frac_coords": [[0.003, 0.003, 0.991], [0.742, 0.358, 0.769], [0.358, 0.131, 0.769], [0.131, 0.742, 0.769], [0.863, 0.237, 0.266], [0.634, 0.863, 0.266], [0.237, 0.634, 0.266], [0.502, 0.502, 0.493], [0.286, 0.286, 0.141], [0.785, 0.785, 0.645]]}